Entry 1:
This record from Alexandria describes an optimized crystal structure of Ta6AlN. The functional is GGA-PBE.

**Uncorrected formation energy**: 0.04 eV/atom
**Theoretical density**: 13.7 g/cm3
**DOS at the Fermi energy**: 4.76 states/eV/cell
**SG**: P-1 (2)
**V**: 17.1 A^3/atom

Geometry as POSCAR:
```
Ta6AlN
1.0
5.617 0.000 0.000
-2.807 4.869 0.000
-2.804 -1.626 5.008
Ta Al N
6 1 1
Direct
0.058 0.066 0.270
0.278 0.712 0.270
0.295 0.507 0.730
0.705 0.493 0.270
0.722 0.288 0.730
0.942 0.934 0.730
0.500 0.000 0.000
0.500 0.500 0.500
```

Entry 2:
This record from Alexandria describes an optimized crystal structure of Ta3Al2N. The functional is GGA-PBE.

**Uncorrected formation energy**: -0.63 eV/atom
**Theoretical density**: 11.6 g/cm3
**DOS at the Fermi energy**: 11.70 states/eV/cell
**SG**: P4_132 (213)
**V**: 14.6 A^3/atom

Geometry as POSCAR:
```
Ta3Al2N
1.0
7.044 0.000 0.000
0.000 7.044 0.000
0.000 0.000 7.044
Ta Al N
12 8 4
Direct
0.045 0.125 0.795
0.125 0.795 0.045
0.205 0.545 0.375
0.295 0.455 0.875
0.375 0.205 0.545
0.455 0.875 0.295
0.545 0.375 0.205
0.625 0.705 0.955
0.705 0.955 0.625
0.795 0.045 0.125
0.875 0.295 0.455
0.955 0.625 0.705
0.071 0.929 0.429
0.179 0.179 0.179
0.321 0.821 0.679
0.429 0.071 0.929
0.571 0.571 0.571
0.679 0.321 0.821
0.821 0.679 0.321
0.929 0.429 0.071
0.125 0.375 0.625
0.375 0.625 0.125
0.625 0.125 0.375
0.875 0.875 0.875
```